Computed, not measured: a relaxed structure of CeZrTiZn at the PBE level of DFT.

Output
Energy of formation from the pure elements ... 2.0 meV/atom

abc: 6.9399 6.9399 6.9399
angles: 90.00 90.00 90.00
Last column: nearest neighbours and their distance in Å.
Space group F-43m (No. 216)
Asymmetric unit:
Ce: 0.0000 0.0000 0.0000  4 Ti 3.01, 4 Zn 3.01
Zr: 0.0000 0.0000 0.5000  4 Zn 3.01, 4 Ti 3.01
Ti: 0.2500 0.2500 0.2500  4 Zr 3.01, 4 Ce 3.01
Zn: 0.2500 0.2500 0.7500  4 Zr 3.01, 4 Ce 3.01